The following is a DFT calculation (PBE) of CsDyPtS3 after structural relaxation.

Cell: 8.3657 8.3657 10.1533 Å, 90.00 90.00 152.67°
Fractional coordinates of all 12 atoms:
Cs: 0.2489 0.7511 0.7500
Cs: 0.7511 0.2489 0.2500
Dy: 0.0000 0.0000 0.0000
Dy: 0.0000 0.0000 0.5000
Pt: 0.4881 0.5119 0.2500
Pt: 0.5119 0.4881 0.7500
S: 0.0729 0.9271 0.2500
S: 0.3908 0.6092 0.0718
S: 0.3908 0.6092 0.4282
S: 0.6092 0.3908 0.5718
S: 0.6092 0.3908 0.9282
S: 0.9271 0.0729 0.7500

## Properties
spin magnetization = 0.0 μB per cell
raw total energy = -5.1668 eV/atom